VASP calculation (PBE with a Hubbard U) on a relaxed MoSF2 crystal.

Geometry as POSCAR:
```
MoSF2
1.0
1.3771 0.7951 10.1857
-1.3771 0.7951 10.1857
0.0000 -1.5902 10.1857
Mo S F
1 1 2
direct
0.0000 0.0000 0.0000 Mo
0.5000 0.5000 0.5000 S
0.3827 0.3827 0.3827 F
0.6173 0.6173 0.6173 F
```

Values from the calculation:
magnetic moment: 0.000 μB per atom
energy above the lowest structure with this stoichiometry: 0.187 eV per atom
calculated total energy: -17.735 eV per cell
mass density: 4.119 g cm⁻³